A geometry-optimized SmAl3Pt2 structure, computed with GGA-PBE.

Structure (POSCAR):
```
SmAl3Pt2
1.0
-1.827 1.239 3.558
-6.131 0.900 -5.926
-0.298 -9.558 3.176
Sm Al Pt
3 9 6
Cartesian
-2.420 -6.267 0.940
-5.836 -1.152 -0.133
0.000 0.000 0.000
-0.707 -3.265 0.774
-7.550 -4.154 0.033
-3.145 -3.082 -0.542
-5.112 -4.337 1.349
-2.793 -0.907 1.345
-5.463 -6.512 -0.538
-1.063 -4.159 3.367
-4.610 0.642 -2.591
-3.646 -8.061 3.399
-2.817 -0.624 -1.229
-5.439 -6.795 2.037
-6.752 -0.665 -3.236
-1.504 -6.754 4.043
-5.241 -4.144 -1.248
-3.015 -3.275 2.056
```

Values from the calculation:
As for the density: 9.269 g/cm3. As for the symmetry: C2/m. The calculated formation energy is -1033 meV per atom.